# KAl3Cu, relaxed, DFT PBE
data_KAl3Cu
_chemical_formula_sum 'K1 Al3 Cu1'
_cell_length_a 4.8178
_cell_length_b 4.8178
_cell_length_c 4.8178
_cell_angle_alpha 90.00
_cell_angle_beta 90.00
_cell_angle_gamma 90.00
_space_group_name_H-M_alt 'P 1'
_space_group_IT_number 1
loop_
_space_group_symop_operation_xyz
'x,y,z'
loop_
_atom_site_label
_atom_site_type_symbol
_atom_site_fract_x
_atom_site_fract_y
_atom_site_fract_z
_atom_site_occupancy
K1 K 0.0000 0.0000 0.0000 1
Al1 Al 0.0000 0.5000 0.5000 1
Al2 Al 0.5000 0.0000 0.5000 1
Al3 Al 0.5000 0.5000 0.0000 1
Cu1 Cu 0.5000 0.5000 0.5000 1
# * E above lowest polymorph: 0 meV per atom
# * calculated volume: 22.4 A^3/atom
# * VASP energy: -3.00 eV per atom
# * total magnetization: 0.00 μB/cell
# * energy relative to the elements: 0.28 eV/atom

---

# KAl2Cu, relaxed, DFT PBE
data_KAl2Cu
_chemical_formula_sum 'K1 Al2 Cu1'
_cell_length_a 5.7354
_cell_length_b 5.7354
_cell_length_c 6.1085
_cell_angle_alpha 107.96
_cell_angle_beta 107.96
_cell_angle_gamma 29.22
_space_group_name_H-M_alt 'P 1'
_space_group_IT_number 1
loop_
_space_group_symop_operation_xyz
'x,y,z'
loop_
_atom_site_label
_atom_site_type_symbol
_atom_site_fract_x
_atom_site_fract_y
_atom_site_fract_z
_atom_site_occupancy
K1 K 0.0000 0.0000 0.0000 1
Al1 Al 0.1943 0.1943 0.6302 1
Al2 Al 0.8057 0.8057 0.3698 1
Cu1 Cu 0.5000 0.5000 0.5000 1
# * E above lowest polymorph: 190 meV per atom
# * calculated volume: 23.2 A^3/atom
# * VASP energy: -2.98 eV per atom
# * total magnetization: 0.00 μB/cell
# * energy relative to the elements: 0.19 eV/atom

---

What did the first record say?
# KAl3Cu, relaxed, DFT PBE
data_KAl3Cu
_chemical_formula_sum 'K1 Al3 Cu1'
_cell_length_a 4.8178
_cell_length_b 4.8178
_cell_length_c 4.8178
_cell_angle_alpha 90.00
_cell_angle_beta 90.00
_cell_angle_gamma 90.00
_space_group_name_H-M_alt 'P 1'
_space_group_IT_number 1
loop_
_space_group_symop_operation_xyz
'x,y,z'
loop_
_atom_site_label
_atom_site_type_symbol
_atom_site_fract_x
_atom_site_fract_y
_atom_site_fract_z
_atom_site_occupancy
K1 K 0.0000 0.0000 0.0000 1
Al1 Al 0.0000 0.5000 0.5000 1
Al2 Al 0.5000 0.0000 0.5000 1
Al3 Al 0.5000 0.5000 0.0000 1
Cu1 Cu 0.5000 0.5000 0.5000 1
# * E above lowest polymorph: 0 meV per atom
# * calculated volume: 22.4 A^3/atom
# * VASP energy: -3.00 eV per atom
# * total magnetization: 0.00 μB/cell
# * energy relative to the elements: 0.28 eV/atom

---

Copy entry 1 word for word.
# KAl3Cu, relaxed, DFT PBE
data_KAl3Cu
_chemical_formula_sum 'K1 Al3 Cu1'
_cell_length_a 4.8178
_cell_length_b 4.8178
_cell_length_c 4.8178
_cell_angle_alpha 90.00
_cell_angle_beta 90.00
_cell_angle_gamma 90.00
_space_group_name_H-M_alt 'P 1'
_space_group_IT_number 1
loop_
_space_group_symop_operation_xyz
'x,y,z'
loop_
_atom_site_label
_atom_site_type_symbol
_atom_site_fract_x
_atom_site_fract_y
_atom_site_fract_z
_atom_site_occupancy
K1 K 0.0000 0.0000 0.0000 1
Al1 Al 0.0000 0.5000 0.5000 1
Al2 Al 0.5000 0.0000 0.5000 1
Al3 Al 0.5000 0.5000 0.0000 1
Cu1 Cu 0.5000 0.5000 0.5000 1
# * E above lowest polymorph: 0 meV per atom
# * calculated volume: 22.4 A^3/atom
# * VASP energy: -3.00 eV per atom
# * total magnetization: 0.00 μB/cell
# * energy relative to the elements: 0.28 eV/atom

---

Q: Which formula does entry 2 have?
A: KAl2Cu

---

Q: Among the records above, which one has the lowest VASP energy?
A: KAl3Cu